Entry 1:
Here is a relaxed HfTe2Se crystal from Alexandria. Energies are from GGA-PBE.

Lattice parameters (Å, degrees): 3.923 3.923 27.154 90.00 90.00 120.00
Fractional coordinates of all 12 atoms:
Hf  0.000  0.000  0.000
Hf  0.333  0.667  0.667
Hf  0.667  0.333  0.333
Te  0.000  0.000  0.399
Te  0.000  0.000  0.601
Te  0.333  0.667  0.066
Te  0.333  0.667  0.267
Te  0.667  0.333  0.733
Te  0.667  0.333  0.934
Se  0.000  0.000  0.500
Se  0.333  0.667  0.167
Se  0.667  0.333  0.833

Output
**D(E_F)**: 10.7 states/eV/cell
**Size of the total moment**: 0.0 Bohr magnetons per cell
**Space group**: R-3m
**Raw formation energy**: -320 meV per atom



Entry 2:
Here is a relaxed HfTeSe3 crystal from Alexandria. Energies are from GGA-PBE.

Lattice parameters (Å, degrees): 5.239 5.239 5.239 90.00 90.00 90.00
Fractional coordinates of all 5 atoms:
Hf  0.000  0.000  0.000
Te  0.500  0.500  0.500
Se  0.000  0.500  0.500
Se  0.500  0.000  0.500
Se  0.500  0.500  0.000

Output
**D(E_F)**: 5.2 states/eV/cell
**Size of the total moment**: 1.1 Bohr magnetons per cell
**Space group**: Pm-3m
**Raw formation energy**: 701 meV per atom



Entry 3:
Here is a relaxed Hf2Te2Se crystal from Alexandria. Energies are from GGA-PBE.

Lattice parameters (Å, degrees): 4.791 4.791 12.401 90.00 90.00 90.00
Fractional coordinates of all 10 atoms:
Hf  0.000  0.000  0.122
Hf  0.000  0.000  0.878
Hf  0.500  0.500  0.378
Hf  0.500  0.500  0.622
Te  0.000  0.500  0.250
Te  0.000  0.500  0.750
Te  0.500  0.000  0.250
Te  0.500  0.000  0.750
Se  0.000  0.000  0.500
Se  0.500  0.500  0.000

Output
**D(E_F)**: 0.9 states/eV/cell
**Size of the total moment**: 0.0 Bohr magnetons per cell
**Space group**: I4/mmm
**Raw formation energy**: -84 meV per atom



Entry 4:
Here is a relaxed Hf2TeSe crystal from Alexandria. Energies are from GGA-PBE.

Lattice parameters (Å, degrees): 6.883 6.883 6.883 90.00 90.00 90.00
Fractional coordinates of all 16 atoms:
Hf  0.250  0.250  0.250
Hf  0.250  0.250  0.750
Hf  0.250  0.750  0.250
Hf  0.250  0.750  0.750
Hf  0.750  0.250  0.250
Hf  0.750  0.250  0.750
Hf  0.750  0.750  0.250
Hf  0.750  0.750  0.750
Te  0.000  0.000  0.000
Te  0.000  0.500  0.500
Te  0.500  0.000  0.500
Te  0.500  0.500  0.000
Se  0.000  0.000  0.500
Se  0.000  0.500  0.000
Se  0.500  0.000  0.000
Se  0.500  0.500  0.500

Output
**D(E_F)**: 1.4 states/eV/cell
**Size of the total moment**: 0.0 Bohr magnetons per cell
**Space group**: Fm-3m
**Raw formation energy**: -683 meV per atom



Entry 5:
Here is a relaxed HfTeSe2 crystal from Alexandria. Energies are from GGA-PBE.

Lattice parameters (Å, degrees): 9.245 9.245 5.668 90.00 90.00 90.00
Fractional coordinates of all 16 atoms:
Hf  0.000  0.000  0.000
Hf  0.000  0.500  0.250
Hf  0.500  0.000  0.750
Hf  0.500  0.500  0.500
Te  0.000  0.000  0.500
Te  0.000  0.500  0.750
Te  0.500  0.000  0.250
Te  0.500  0.500  0.000
Se  0.110  0.250  0.125
Se  0.250  0.610  0.375
Se  0.250  0.890  0.875
Se  0.390  0.250  0.625
Se  0.610  0.750  0.625
Se  0.750  0.110  0.875
Se  0.750  0.390  0.375
Se  0.890  0.750  0.125

Output
**D(E_F)**: 14.5 states/eV/cell
**Size of the total moment**: 0.0 Bohr magnetons per cell
**Space group**: I-42d
**Raw formation energy**: -491 meV per atom



Entry 6:
Here is a relaxed Hf6Te3Se crystal from Alexandria. Energies are from GGA-PBE.

Lattice parameters (Å, degrees): 8.723 8.723 6.395 90.00 90.00 104.03
Fractional coordinates of all 20 atoms:
Hf  0.027  0.973  0.500
Hf  0.069  0.583  0.559
Hf  0.245  0.755  0.136
Hf  0.275  0.419  0.091
Hf  0.417  0.931  0.559
Hf  0.419  0.275  0.591
Hf  0.581  0.725  0.091
Hf  0.583  0.069  0.059
Hf  0.725  0.581  0.591
Hf  0.755  0.245  0.636
Hf  0.931  0.417  0.059
Hf  0.973  0.027  0.000
Te  0.101  0.282  0.719
Te  0.282  0.101  0.219
Te  0.405  0.595  0.467
Te  0.595  0.405  0.967
Te  0.718  0.899  0.719
Te  0.899  0.718  0.219
Se  0.155  0.845  0.786
Se  0.845  0.155  0.286

Output
**D(E_F)**: 10.9 states/eV/cell
**Size of the total moment**: 0.0 Bohr magnetons per cell
**Space group**: Cmc2_1
**Raw formation energy**: -367 meV per atom



Entry 7:
Here is a relaxed Hf6Te2Se crystal from Alexandria. Energies are from GGA-PBE.

Lattice parameters (Å, degrees): 6.234 7.392 10.669 90.00 125.32 90.00
Fractional coordinates of all 18 atoms:
Hf  0.098  0.007  0.199
Hf  0.098  0.493  0.699
Hf  0.221  0.704  0.065
Hf  0.221  0.796  0.565
Hf  0.399  0.167  0.058
Hf  0.399  0.333  0.558
Hf  0.601  0.667  0.442
Hf  0.601  0.833  0.942
Hf  0.779  0.204  0.435
Hf  0.779  0.296  0.935
Hf  0.902  0.507  0.301
Hf  0.902  0.993  0.801
Te  0.264  0.115  0.734
Te  0.264  0.385  0.234
Te  0.736  0.615  0.766
Te  0.736  0.885  0.266
Se  0.500  0.000  0.500
Se  0.500  0.500  0.000

Output
**D(E_F)**: 10.4 states/eV/cell
**Size of the total moment**: 0.0 Bohr magnetons per cell
**Space group**: P2_1/c
**Raw formation energy**: -402 meV per atom



Entry 8:
Here is a relaxed Hf2TeSe2 crystal from Alexandria. Energies are from GGA-PBE.

Lattice parameters (Å, degrees): 3.800 5.272 12.177 90.00 90.00 90.00
Fractional coordinates of all 10 atoms:
Hf  0.000  0.000  0.182
Hf  0.000  0.000  0.818
Hf  0.500  0.500  0.318
Hf  0.500  0.500  0.682
Te  0.000  0.500  0.500
Te  0.500  0.000  0.000
Se  0.000  0.500  0.159
Se  0.000  0.500  0.841
Se  0.500  0.000  0.341
Se  0.500  0.000  0.659

Output
**D(E_F)**: 3.7 states/eV/cell
**Size of the total moment**: 0.0 Bohr magnetons per cell
**Space group**: Immm
**Raw formation energy**: -1016 meV per atom